[1]
LaNiSb2Pd | PBE-GGA | relaxed

## Properties
The value obtained for the uncorrected energy is -28.08 eV per formula unit. For the spin magnetization, the calculation gives 0.00 μB per formula unit.

Lattice parameters (Å, degrees): 4.621 4.621 10.142 90.00 90.00 90.00
Fractional coordinates of all 10 atoms:
Ni: 0.000 0.500 0.888
Ni: 0.500 0.000 0.112
Pd: 0.500 0.500 0.500
Pd: 0.000 0.000 0.500
Sb: 0.000 0.000 0.000
Sb: 0.000 0.500 0.641
Sb: 0.500 0.500 0.000
Sb: 0.500 0.000 0.359
La: 0.000 0.500 0.251
La: 0.500 0.000 0.749



[2]
LaNiSb2Pd | PBE-GGA | relaxed

## Properties
The value obtained for the uncorrected energy is -27.82 eV per formula unit. For the spin magnetization, the calculation gives 0.01 μB per formula unit.

Lattice parameters (Å, degrees): 4.560 4.560 10.551 90.00 90.00 90.00
Fractional coordinates of all 10 atoms:
La: 0.500 0.000 0.729
La: 0.000 0.500 0.271
Pd: 0.000 0.500 0.863
Pd: 0.500 0.000 0.137
Ni: 0.500 0.500 0.500
Ni: 0.000 0.000 0.500
Sb: 0.500 0.000 0.386
Sb: 0.000 0.000 0.000
Sb: 0.000 0.500 0.614
Sb: 0.500 0.500 0.000



[3]
La2NiSb2Pd | PBE-GGA | relaxed

## Properties
The value obtained for the uncorrected energy is -34.89 eV per formula unit. For the spin magnetization, the calculation gives 0.00 μB per formula unit.

Lattice parameters (Å, degrees): 4.541 4.541 8.340 90.00 90.00 120.00
Fractional coordinates of all 6 atoms:
La: 0.667 0.333 0.252
La: 0.667 0.333 0.748
Pd: 0.333 0.667 0.000
Sb: 0.333 0.667 0.500
Sb: 0.000 0.000 0.000
Ni: 0.000 0.000 0.500



[4]
LaNiSnSbPd | PBE-GGA | relaxed

## Properties
The value obtained for the uncorrected energy is -27.22 eV per formula unit. For the spin magnetization, the calculation gives 0.00 μB per formula unit.

Lattice parameters (Å, degrees): 4.598 4.598 10.558 90.00 90.00 90.00
Fractional coordinates of all 10 atoms:
Ni: 0.500 0.500 0.000
Ni: 0.000 0.000 0.000
Sb: 0.500 0.500 0.500
Sb: 0.000 0.000 0.500
Pd: 0.500 0.000 0.363
Pd: 0.000 0.500 0.637
La: 0.500 0.000 0.767
La: 0.000 0.500 0.233
Sn: 0.500 0.000 0.112
Sn: 0.000 0.500 0.888



[5]
LaNiSnSbPd | PBE-GGA | relaxed

## Properties
The value obtained for the uncorrected energy is -27.78 eV per formula unit. For the spin magnetization, the calculation gives 0.00 μB per formula unit.

Lattice parameters (Å, degrees): 4.476 4.476 10.874 90.00 90.00 90.00
Fractional coordinates of all 10 atoms:
La: 0.500 0.000 0.771
La: 0.000 0.500 0.229
Pd: 0.000 0.500 0.642
Pd: 0.500 0.000 0.358
Sn: 0.500 0.500 0.500
Sn: 0.000 0.000 0.500
Sb: 0.000 0.500 0.885
Sb: 0.500 0.000 0.115
Ni: 0.500 0.500 0.000
Ni: 0.000 0.000 0.000



[6]
LaNiSnSbPd | PBE-GGA | relaxed

## Properties
The value obtained for the uncorrected energy is -27.82 eV per formula unit. For the spin magnetization, the calculation gives 0.00 μB per formula unit.

Lattice parameters (Å, degrees): 4.530 4.530 10.456 90.00 90.00 90.00
Fractional coordinates of all 10 atoms:
Sb: 0.000 0.500 0.858
Sb: 0.500 0.000 0.142
Sn: 0.500 0.500 0.500
Sn: 0.000 0.000 0.500
Pd: 0.000 0.000 0.000
Pd: 0.500 0.500 0.000
Ni: 0.000 0.500 0.621
Ni: 0.500 0.000 0.379
La: 0.500 0.000 0.752
La: 0.000 0.500 0.248



[7]
La3Si4Ni2Pd2 | PBE-GGA | relaxed

## Properties
The value obtained for the uncorrected energy is -67.17 eV per formula unit. For the spin magnetization, the calculation gives 0.02 μB per formula unit.

Lattice parameters (Å, degrees): 12.416 12.416 12.416 160.66 160.11 27.88
Fractional coordinates of all 11 atoms:
Si: 0.806 0.806 0.000
Si: 0.949 0.449 0.500
Si: 0.194 0.194 0.000
Si: 0.051 0.551 0.500
La: 0.355 0.355 0.000
La: 0.645 0.645 0.000
La: 0.500 0.000 0.500
Pd: 0.748 0.248 0.500
Pd: 0.252 0.752 0.500
Ni: 0.903 0.903 0.000
Ni: 0.097 0.097 0.000



[8]
LaSi2NiPd | PBE-GGA | relaxed

## Properties
The value obtained for the uncorrected energy is -30.72 eV per formula unit. For the spin magnetization, the calculation gives 0.01 μB per formula unit.

Lattice parameters (Å, degrees): 5.758 5.758 5.758 137.16 137.16 62.19
Fractional coordinates of all 5 atoms:
Si: 0.376 0.376 0.000
Si: 0.624 0.624 0.000
Ni: 0.250 0.750 0.500
Pd: 0.750 0.250 0.500
La: 0.000 0.000 0.000



[9]
La2Si4NiPd | PBE-GGA | relaxed

## Properties
The value obtained for the uncorrected energy is -49.03 eV per formula unit. For the spin magnetization, the calculation gives 0.00 μB per formula unit.

Lattice parameters (Å, degrees): 4.165 8.724 8.724 28.41 90.00 90.00
Fractional coordinates of all 8 atoms:
Ni: 0.000 0.319 0.319
La: 0.000 0.104 0.104
La: 0.500 0.893 0.893
Si: 0.000 0.458 0.458
Si: 0.500 0.535 0.535
Si: 0.500 0.255 0.255
Si: 0.000 0.756 0.756
Pd: 0.500 0.680 0.680



[10]
LaSm2Si4Ni2Pd2 | PBE-GGA | relaxed

## Properties
The value obtained for the uncorrected energy is -67.25 eV per formula unit. For the spin magnetization, the calculation gives 0.02 μB per formula unit.

Lattice parameters (Å, degrees): 12.348 12.348 12.348 160.92 160.35 27.52
Fractional coordinates of all 11 atoms:
Sm: 0.347 0.847 0.500
Sm: 0.653 0.153 0.500
Pd: 0.102 0.602 0.500
Pd: 0.898 0.398 0.500
Si: 0.450 0.450 0.000
Si: 0.550 0.550 0.000
Si: 0.204 0.704 0.500
Si: 0.796 0.296 0.500
Ni: 0.751 0.751 0.000
Ni: 0.249 0.249 0.000
La: 0.000 0.000 0.000



[11]
La3NiSn3Pd2 | PBE-GGA | relaxed

## Properties
The value obtained for the uncorrected energy is -50.52 eV per formula unit. For the spin magnetization, the calculation gives 0.00 μB per formula unit.

Lattice parameters (Å, degrees): 7.704 7.704 4.139 90.00 90.00 120.00
Fractional coordinates of all 9 atoms:
Pd: 0.333 0.667 0.500
Pd: 0.667 0.333 0.500
Sn: 0.240 0.240 0.500
Sn: 0.000 0.760 0.500
Sn: 0.760 0.000 0.500
La: 0.000 0.410 0.000
La: 0.410 0.000 0.000
La: 0.590 0.590 0.000
Ni: 0.000 0.000 0.000



[12]
LaNiSn2Pd | PBE-GGA | relaxed

## Properties
The value obtained for the uncorrected energy is -27.14 eV per formula unit. For the spin magnetization, the calculation gives 0.00 μB per formula unit.

Lattice parameters (Å, degrees): 4.545 4.545 10.656 90.00 90.00 90.00
Fractional coordinates of all 10 atoms:
La: 0.000 0.500 0.234
La: 0.500 0.000 0.766
Ni: 0.000 0.000 0.000
Ni: 0.500 0.500 0.000
Sn: 0.500 0.000 0.112
Sn: 0.000 0.000 0.500
Sn: 0.500 0.500 0.500
Sn: 0.000 0.500 0.888
Pd: 0.000 0.500 0.640
Pd: 0.500 0.000 0.360